# 1
A plane-wave DFT calculation with PBE was carried out for an optimized crystal structure of Li2ErPt2.

```
data_Li2ErPt2
_cell_length_a 7.304
_cell_length_b 7.304
_cell_length_c 2.983
_cell_angle_alpha 90.00
_cell_angle_beta 90.00
_cell_angle_gamma 90.00
_space_group_name_H-M_alt 'P 4/m b m'
_space_group_IT_number 127
_space_group_name_Hall '-P 4 2ab'
loop_
_atom_site_label
_atom_site_fract_x
_atom_site_fract_y
_atom_site_fract_z
_atom_site_occupancy
Li1 0.110 0.390 0.000 1
Er1 0.000 0.000 0.000 1
Pt1 0.187 0.687 0.500 1
```

---

# 2
A plane-wave DFT calculation with PBE was carried out for an optimized crystal structure of LaSeCl2.

```
data_LaSeCl2
_cell_length_a 4.448
_cell_length_b 4.448
_cell_length_c 9.411
_cell_angle_alpha 90.00
_cell_angle_beta 90.00
_cell_angle_gamma 90.00
_space_group_name_H-M_alt 'I -4 m 2'
_space_group_IT_number 119
_space_group_name_Hall 'I -4 -2'
loop_
_atom_site_label
_atom_site_fract_x
_atom_site_fract_y
_atom_site_fract_z
_atom_site_occupancy
La1 0.000 0.000 0.000 1
Se1 0.000 0.500 0.750 1
Cl1 0.000 0.000 0.500 1
Cl2 0.000 0.500 0.250 1
```

Computed properties:
Formation energy without anion corrections: -1.477 eV per atom

---

| no. | E above lowest polymorph (meV/atom) | DFT total energy (eV per cell) |
| --- | --- | --- |
| 1 | 20 | -48.3 |
| 2 | 204 | -36.0 |